Compound: AlTe2Au
Source: Alexandria
Functional: PBE
Structure: relaxed

a b c (Å): 8.0541 8.0541 6.5577
angles (deg): 52.11 52.11 90.00
With the nearest neighbours (Å) after each atom.
Atoms (fractional coordinates):
Al1 0.7500 0.2500 0.5000  4 Te 2.65
Te1 0.3158 0.1842 0.0000  2 Al 2.65
Te2 0.8158 0.3158 0.0000  2 Al 2.65
Au1 0.2500 0.2500 0.5000  2 Au 3.25, 8 Te 3.36
Te3 0.1842 0.6842 0.0000  2 Al 2.65
Te4 0.6842 0.8158 0.0000  2 Al 2.65
Au2 0.7500 0.7500 0.5000  2 Au 3.25, 8 Te 3.36
Al2 0.2500 0.7500 0.5000  4 Te 2.65

Results
The space group is I4/mcm. For the electronic total energy, the calculation gives -26.33 eV per cell. For the raw formation energy, the calculation gives 13 kJ/mol of formula units.